1.
# Li2TmI4

A relaxed Li2TmI4 crystal (PBE-GGA, the Alexandria database).

Computed properties:
* energy: -3.166 eV/atom

a = 8.2139 Å, b = 8.5505 Å, c = 8.5512 Å
α = 71.90°, β = 62.88°, γ = 62.88°
Space group P1 (No. 1)
Symmetry-distinct sites (fractional):
Li 0.0000 0.0000 0.0000
Li 0.0014 0.4991 0.5011
Li 0.0005 0.9994 0.5002
Li 0.5018 0.9981 0.4988
Tm 0.2987 0.4957 0.9964
Tm 0.7019 0.5036 0.0044
I 0.1696 0.3169 0.8175
I 0.2480 0.2064 0.3103
I 0.2481 0.8096 0.7071
I 0.2794 0.7222 0.2232
I 0.7213 0.2767 0.7779
I 0.7528 0.1896 0.2936
I 0.7528 0.7928 0.6903
I 0.8308 0.6827 0.1831

=====

2.
# Y2HfO

A relaxed Y2HfO crystal (PBE-GGA, the Alexandria database).

Computed properties:
* energy: -7.939 eV/atom

a = 6.8738 Å, b = 6.8738 Å, c = 8.5147 Å
α = 90.00°, β = 90.00°, γ = 90.00°
Space group I-42d (No. 122)
Symmetry-distinct sites (fractional):
Y 0.1181 0.2500 0.1250
Hf 0.0000 0.0000 0.5000
O 0.0000 0.0000 0.0000

=====

3.
# TiNbGa

A relaxed TiNbGa crystal (PBE-GGA, the Alexandria database).

Computed properties:
* energy above the lowest structure with this stoichiometry: 166 meV per atom
* energy of formation from the pure elements: -0.252 eV per atom

a = 4.0755 Å, b = 12.9927 Å, c = 3.8043 Å
α = 90.00°, β = 90.00°, γ = 90.00°
Space group Cmcm (No. 63)
Symmetry-distinct sites (fractional):
Ti 0.0000 0.0912 0.2500
Nb 0.0000 0.4124 0.2500
Ga 0.0000 0.2506 0.7500

=====

4.
# In2SnGe

A relaxed In2SnGe crystal (PBE-GGA, the Alexandria database).

Computed properties:
* energy of formation from the pure elements: 0.126 eV per atom

a = 3.4944 Å, b = 3.4944 Å, c = 8.2118 Å
α = 90.00°, β = 90.00°, γ = 90.00°
Space group P4/mmm (No. 123)
Symmetry-distinct sites (fractional):
In 0.0000 0.0000 0.2240
Sn 0.5000 0.5000 0.5000
Ge 0.5000 0.5000 0.0000

=====

5.
# TePbS2Br

A relaxed TePbS2Br crystal (PBE-GGA, the Alexandria database).

Computed properties:
* energy: -3.647 eV/atom

a = 5.9796 Å, b = 6.0825 Å, c = 9.1890 Å
α = 90.00°, β = 108.28°, γ = 90.00°
Space group P2_1/m (No. 11)
Symmetry-distinct sites (fractional):
Te 0.1740 0.2500 0.4300
Pb 0.1227 0.2500 0.8785
S 0.0786 0.7500 0.8308
S 0.1200 0.7500 0.4446
Br 0.4240 0.7500 0.1972

=====

6.
# RuPb2

A relaxed RuPb2 crystal (PBE-GGA, the Alexandria database).

Computed properties:
* energy of formation from the pure elements: 0.373 eV per atom

a = 3.4616 Å, b = 16.0629 Å, c = 5.3155 Å
α = 90.00°, β = 90.00°, γ = 90.00°
Space group Cmcm (No. 63)
Symmetry-distinct sites (fractional):
Ru 0.0000 0.1913 0.2500
Pb 0.0000 0.1695 0.7500
Pb 0.0000 0.4448 0.7500

=====

7.
# BeTlMo

A relaxed BeTlMo crystal (PBE-GGA, the Alexandria database).

Computed properties:
* energy above the lowest structure with this stoichiometry: 156 meV per atom
* energy of formation from the pure elements: 0.803 eV per atom

a = 5.8680 Å, b = 5.8680 Å, c = 5.8680 Å
α = 90.00°, β = 90.00°, γ = 90.00°
Space group F-43m (No. 216)
Symmetry-distinct sites (fractional):
Be 0.0000 0.0000 0.0000
Tl 0.2500 0.2500 0.7500
Mo 0.2500 0.2500 0.2500

=====

8.
# CaGe2I

A relaxed CaGe2I crystal (PBE-GGA, the Alexandria database).

Computed properties:
* energy above the lowest structure with this stoichiometry: 0 meV per atom

a = 8.7703 Å, b = 8.7703 Å, c = 5.9087 Å
α = 90.00°, β = 90.00°, γ = 90.00°
Space group I-42d (No. 122)
Symmetry-distinct sites (fractional):
Ca 0.0000 0.0000 0.0000
Ge 0.2483 0.2500 0.6250
I 0.0000 0.0000 0.5000